No. 1
{
  "formula": "LiCd2In8",
  "functional": "PBE-GGA",
  "state": "optimized geometry",
  "delta_e_f_kj_per_mol_atoms": 2,
  "energy_ev_per_cell": -25.437,
  "dos_ef_per_ev_atom": 0.38,
  "lattice_angstrom": [[5.384, 0.386, 0.321], [0.678, 7.622, 0.422], [0.678, 1.809, 7.416]],
  "species": ["In", "In", "In", "In", "In", "In", "In", "In", "Cd", "Cd", "Li"],
  "fractional_positions": [[0.654, 0.622, 0.622], [0.200, 0.353, 0.796], [0.085, 0.765, 0.765], [0.346, 0.378, 0.378], [0.800, 0.647, 0.204], [0.800, 0.204, 0.647], [0.915, 0.235, 0.235], [0.200, 0.796, 0.353], [0.481, 0.122, 0.122], [0.519, 0.878, 0.878], [0.000, 0.000, 0.000]]
}


No. 2
{
  "formula": "RbCu2B",
  "functional": "PBE-GGA",
  "state": "optimized geometry",
  "delta_e_f_kj_per_mol_atoms": 47,
  "energy_ev_per_cell": -27.762,
  "dos_ef_per_ev_atom": 0.34,
  "lattice_angstrom": [[6.437, 0.000, 0.000], [0.000, 6.437, 0.000], [3.218, 3.218, 4.377]],
  "species": ["B", "B", "Cu", "Cu", "Cu", "Cu", "Rb", "Rb"],
  "fractional_positions": [[0.250, 0.750, 0.500], [0.500, 0.500, 0.000], [0.875, 0.624, 0.750], [0.375, 0.626, 0.750], [0.376, 0.625, 0.250], [0.374, 0.125, 0.250], [0.750, 0.250, 0.500], [0.000, 0.000, 0.000]]
}


No. 3
{
  "formula": "BeGaTe",
  "functional": "PBE-GGA",
  "state": "optimized geometry",
  "energy_ev_per_cell": -19.347,
  "dos_ef_per_ev_atom": 0.45,
  "formation_energy_uncorrected_kj_per_mol_atoms": 7.12,
  "lattice_angstrom": [[-2.031, -0.838, -3.123], [0.342, -3.434, -1.635], [-8.519, -5.159, 4.591]],
  "species": ["Te", "Te", "Ga", "Ga", "Be", "Be"],
  "fractional_positions": [[0.723, 0.723, 0.830], [0.277, 0.277, 0.170], [0.864, 0.864, 0.408], [0.136, 0.136, 0.592], [0.421, 0.421, 0.738], [0.579, 0.579, 0.262]]
}


Number 1: total magnetization 0.00 μB/f.u.. Number 2: total magnetization 0.00 μB/f.u.. Number 3: total magnetization 0.00 μB/f.u..